1.
LiMnAlF6: optimized geometry, PBE with a Hubbard U.

Cell: 5.0104 5.0104 9.2068 Å, 90.00 90.00 120.00°
Atoms (fractional coordinates):
Li  0.3333  0.6667  0.2500
Li  0.6667  0.3333  0.7500
Mn  0.0000  0.0000  0.0000
Mn  0.0000  0.0000  0.5000
Al  0.3333  0.6667  0.7500
Al  0.6667  0.3333  0.2500
F  0.0302  0.3664  0.6377
F  0.0302  0.6638  0.8623
F  0.3362  0.3664  0.8623
F  0.3362  0.9698  0.6377
F  0.3664  0.0302  0.1377
F  0.3664  0.3362  0.3623
F  0.6336  0.6638  0.6377
F  0.6336  0.9698  0.8623
F  0.6638  0.0302  0.3623
F  0.6638  0.6336  0.1377
F  0.9698  0.3362  0.1377
F  0.9698  0.6336  0.3623

***

2.
LiAlMoF6: optimized geometry, PBE with a Hubbard U.

Cell: 5.3195 5.3195 8.7712 Å, 90.00 90.00 120.00°
Atoms (fractional coordinates):
Li  0.0000  0.0000  0.0000
Li  0.0000  0.0000  0.5000
Al  0.3333  0.6667  0.2500
Al  0.6667  0.3333  0.7500
Mo  0.3333  0.6667  0.7500
Mo  0.6667  0.3333  0.2500
F  0.0548  0.3722  0.1320
F  0.0548  0.6826  0.3680
F  0.3174  0.3722  0.3680
F  0.3174  0.9452  0.1320
F  0.3722  0.0548  0.6320
F  0.3722  0.3174  0.8680
F  0.6278  0.6826  0.1320
F  0.6278  0.9452  0.3680
F  0.6826  0.0548  0.8680
F  0.6826  0.6278  0.6320
F  0.9452  0.3174  0.6320
F  0.9452  0.6278  0.8680

***

Total energy values, unit eV per cell, following the record order: -105.52, -95.84.
Spin magnetization values, unit μB per cell, following the record order: 10.0, 4.0.